Record 1
Ac2ScSi4Pd3 PBE relaxed; size of the total moment = 0.000 μB per atom; DOS at the Fermi energy = 4.962 states/eV/cell; electronic total energy = -60.0 eV per formula unit
1.0
-4.207 0.403 -0.999
-1.077 -1.572 3.903
0.003 10.095 4.066
Si Ac Pd Sc
4 2 3 1
direct
0.000 0.500 0.352
0.500 0.500 0.000
0.000 0.000 0.000
0.500 0.000 0.648
0.500 0.000 0.237
0.000 0.500 0.763
0.000 0.000 0.500
0.500 0.000 0.887
0.000 0.500 0.113
0.500 0.500 0.500


Record 2
Ac2ScSiPd6 PBE relaxed; size of the total moment = 0.000 μB per atom; DOS at the Fermi energy = 6.061 states/eV/cell; electronic total energy = -58.1 eV per formula unit
1.0
-5.257 4.089 0.470
-3.001 -4.419 4.301
-2.116 1.920 6.146
Si Pd Ac Sc
1 6 2 1
direct
0.500 0.500 0.000
0.337 0.150 0.484
0.182 0.665 0.974
0.151 0.184 0.182
0.818 0.335 0.026
0.663 0.850 0.516
0.849 0.816 0.818
0.708 0.293 0.584
0.292 0.707 0.416
0.000 0.000 0.000


Which formula does entry 2 have? Ac2ScSiPd6


What is the DOS at the Fermi energy in the first record? 4.962 states/eV/cell


What is the DOS at the Fermi energy in the first record? 4.962 states/eV/cell